# 1
Below is crystalline Ti2Nb6V at its relaxed geometry, with properties calculated at the PBE-GGA level.

```
Ti2Nb6V
1.0
-1.7616 3.2040 -2.8248
-4.2928 -3.2337 -0.9455
-4.5018 -0.7862 5.7093
Nb Ti V
6 2 1
direct
0.7777 0.3247 0.5554 Nb
0.6628 0.9997 0.3263 Nb
0.4482 0.3252 0.8968 Nb
0.3372 0.0003 0.6737 Nb
0.2223 0.6753 0.4446 Nb
0.5518 0.6748 0.1032 Nb
0.8898 0.6710 0.7794 Ti
0.1102 0.3291 0.2206 Ti
0.0000 0.0000 0.0000 V
```

For the formation energy from the elements, the calculation gives 0.02 eV per atom. As for the space group: P-1 (2).

***

# 2
Below is crystalline BSeIBr2 at its relaxed geometry, with properties calculated at the PBE-GGA level.

```
BSeIBr2
1.0
4.4356 0.0000 0.0000
0.0000 4.4356 0.0000
0.0000 0.0000 6.2797
I B Br Se
1 1 2 1
direct
0.5000 0.5000 0.5000 I
0.0000 0.0000 0.0000 B
0.0000 0.5000 0.0000 Br
0.5000 0.0000 0.0000 Br
0.0000 0.0000 0.5000 Se
```

As for the space group: P4/mmm (123). The polymorph energy (0 for the lowest one) is 0 meV/atom. The value obtained for the uncorrected formation energy is 625 meV per atom.

***

# 3
Below is crystalline InSn2Se2 at its relaxed geometry, with properties calculated at the PBE-GGA level.

```
InSn2Se2
1.0
-0.3053 7.9706 1.9574
-1.7612 -1.9767 7.7747
3.9379 -0.0642 0.8757
Se In Sn
4 2 4
direct
0.3225 0.1775 0.5000 Se
0.8225 0.3225 0.5000 Se
0.6775 0.8225 0.5000 Se
0.1775 0.6775 0.5000 Se
0.5000 0.5000 0.0000 In
0.0000 0.0000 0.0000 In
0.3539 0.8539 0.0000 Sn
0.1461 0.3539 0.0000 Sn
0.8539 0.6461 0.0000 Sn
0.6461 0.1461 0.0000 Sn
```

As for the space group: P4/mbm (127). The polymorph energy (0 for the lowest one) is 25 meV/atom. The value obtained for the uncorrected formation energy is -160 meV per atom.

***

# 4
Below is crystalline Ta2MnCr at its relaxed geometry, with properties calculated at the PBE-GGA level.

```
Ta2MnCr
1.0
-3.8412 -0.9877 -1.8157
-0.6693 -3.9780 -1.6598
-2.7103 -2.7706 2.0013
Ta Cr Mn
2 1 1
direct
0.0000 0.0000 0.0000 Ta
0.2500 0.2500 0.2500 Ta
0.5000 0.5000 0.5000 Cr
0.7500 0.7500 0.7500 Mn
```

For the formation energy from the elements, the calculation gives 0.10 eV per atom. As for the space group: F-43m (216).

***

# 5
Below is crystalline BaCaO2 at its relaxed geometry, with properties calculated at the PBE-GGA level.

```
BaCaO2
1.0
-1.1198 4.5481 -3.3494
-5.5016 -0.1049 1.6970
-2.1314 5.4757 3.1982
O Ca Ba
4 2 2
direct
0.3750 0.4200 0.7500 O
0.8750 0.8300 0.7500 O
0.1700 0.6250 0.2500 O
0.5800 0.1250 0.2500 O
0.2500 0.7500 0.5000 Ca
0.5000 0.5000 0.0000 Ca
0.0000 0.0000 0.0000 Ba
0.7500 0.2500 0.5000 Ba
```

As for the space group: I-42d (122). The polymorph energy (0 for the lowest one) is 77 meV/atom. The value obtained for the uncorrected formation energy is -2584 meV per atom.

***

# 6
Below is crystalline YCr2Co at its relaxed geometry, with properties calculated at the PBE-GGA level.

```
YCr2Co
1.0
-1.8340 -0.7026 2.2993
0.6338 -2.9309 -0.3901
5.5305 0.5850 4.5902
Cr Co Y
2 1 1
direct
0.0000 0.0000 0.5635 Cr
0.0000 0.0000 0.9365 Cr
0.5000 0.5000 0.7500 Co
0.5000 0.5000 0.2500 Y
```

For the formation energy from the elements, the calculation gives 0.49 eV per atom. As for the space group: P4/mmm (123). The polymorph energy (0 for the lowest one) is 177 meV/atom.

***

# 7
Below is crystalline ThInAgRu at its relaxed geometry, with properties calculated at the PBE-GGA level.

```
ThInAgRu
1.0
4.9495 0.0000 0.0000
2.4748 4.2864 0.0000
2.4748 1.4288 4.0413
Ag Ru Th In
1 1 1 1
direct
0.5000 0.5000 0.5000 Ag
0.0000 0.0000 0.0000 Ru
0.7500 0.7500 0.7500 Th
0.2500 0.2500 0.2500 In
```

For the formation energy from the elements, the calculation gives -0.12 eV per atom. As for the space group: F-43m (216).

***

# 8
Below is crystalline Nd4Cu3Ni at its relaxed geometry, with properties calculated at the PBE-GGA level.

```
Nd4Cu3Ni
1.0
4.5049 0.0000 0.0000
0.0000 5.5856 -0.0149
0.0000 -0.0081 7.3962
Cu Nd Ni
3 4 1
direct
0.5000 0.6182 0.0331 Cu
0.0000 0.3870 0.9651 Cu
0.5000 0.8783 0.5336 Cu
0.0000 0.6243 0.3240 Nd
0.0000 0.8799 0.8141 Nd
0.5000 0.1274 0.1886 Nd
0.5000 0.3694 0.6754 Nd
0.0000 0.1155 0.4662 Ni
```

For the formation energy from the elements, the calculation gives -0.22 eV per atom. As for the space group: Pm (6). The polymorph energy (0 for the lowest one) is 0 meV/atom.

***

Number 1: raw total energy -9.457 eV/atom. Number 2: raw total energy -2.387 eV/atom. Number 3: raw total energy -3.702 eV/atom. Number 4: raw total energy -10.520 eV/atom. Number 5: raw total energy -6.044 eV/atom. Number 6: raw total energy -7.716 eV/atom. Number 7: raw total energy -5.696 eV/atom. Number 8: raw total energy -4.866 eV/atom.